1.
# Tb2ThHg

A geometry-optimized Tb2ThHg structure (PBE-GGA, Alexandria).

Results
**Total magnetization**: 0.000 Bohr magnetons per cell
**Energy of formation from the pure elements**: -0.119 eV/atom
**Energy relative to the lowest polymorph listed for this composition**: 0.54 eV per formula unit

abc: 3.6159 3.6159 31.9861
angles: 90.00 90.00 120.00
Closest atoms and distances in Å follow each position.
Space group R3m (No. 160, hexagonal axes)
Inequivalent atoms, fractional coordinates:
Tb  0.0000  0.0000  0.0000  3 Hg 3.20
Tb  0.0000  0.0000  0.1823  3 Hg 3.19
Th  0.0000  0.0000  0.4248  6 Tb 3.58-3.59, 6 Th 3.62
Hg  0.0000  0.0000  0.5910  6 Tb 3.19-3.20

=====

2.
# Tb2ThHg

A geometry-optimized Tb2ThHg structure (PBE-GGA, Alexandria).

Results
**Total magnetization**: 0.126 Bohr magnetons per cell
**Energy of formation from the pure elements**: 0.061 eV/atom
**Energy relative to the lowest polymorph listed for this composition**: 1.26 eV per formula unit

abc: 7.6973 7.6973 7.6973
angles: 90.00 90.00 90.00
Closest atoms and distances in Å follow each position.
Space group Fm-3m (No. 225)
Inequivalent atoms, fractional coordinates:
Tb  0.2500  0.2500  0.2500  4 Hg 3.33, 4 Th 3.33
Th  0.0000  0.0000  0.0000  8 Tb 3.33
Hg  0.0000  0.0000  0.5000  8 Tb 3.33

=====

Among the records above, which one has the highest total magnetization?
number 2

=====

Among the records above, which one has the lowest energy of formation from the pure elements?
number 1

=====

Copy entry 1 word for word.
# Tb2ThHg

A geometry-optimized Tb2ThHg structure (PBE-GGA, Alexandria).

Results
**Total magnetization**: 0.000 Bohr magnetons per cell
**Energy of formation from the pure elements**: -0.119 eV/atom
**Energy relative to the lowest polymorph listed for this composition**: 0.54 eV per formula unit

abc: 3.6159 3.6159 31.9861
angles: 90.00 90.00 120.00
Closest atoms and distances in Å follow each position.
Space group R3m (No. 160, hexagonal axes)
Inequivalent atoms, fractional coordinates:
Tb  0.0000  0.0000  0.0000  3 Hg 3.20
Tb  0.0000  0.0000  0.1823  3 Hg 3.19
Th  0.0000  0.0000  0.4248  6 Tb 3.58-3.59, 6 Th 3.62
Hg  0.0000  0.0000  0.5910  6 Tb 3.19-3.20

=====

Number 1 is which compound?
Tb2ThHg